[1]
# Nd2TeAu (PBE-GGA, relaxed)
# ΔE_f (raw) ... -1084 meV per atom
# Raw total energy ... -40.582 eV per cell
# N(E_F) ... 0.676 states/eV/atom
# Polymorph energy (0 for the lowest one) ... 0.000 eV per atom
data_Nd2TeAu
_chemical_formula_sum 'Nd4 Te2 Au2'
_cell_length_a 4.697
_cell_length_b 4.180
_cell_length_c 12.207
_cell_angle_alpha 99.86
_cell_angle_beta 90.00
_cell_angle_gamma 90.00
_space_group_name_H-M_alt 'P 1'
_space_group_IT_number 1
_space_group_name_Hall 'P 1'
loop_
_atom_site_label
_atom_site_type_symbol
_atom_site_fract_x
_atom_site_fract_y
_atom_site_fract_z
Nd1 Nd 0.750 0.673 0.346
Nd2 Nd 0.250 0.327 0.654
Nd3 Nd 0.750 0.939 0.879
Nd4 Nd 0.250 0.061 0.121
Te1 Te 0.250 0.193 0.386
Te2 Te 0.750 0.807 0.614
Au1 Au 0.250 0.458 0.917
Au2 Au 0.750 0.542 0.083

[2]
# ScInSi2Cl (PBE-GGA, relaxed)
# ΔE_f (raw) ... 740 meV per atom
# Raw total energy ... -18.062 eV per cell
# N(E_F) ... 1.047 states/eV/atom
data_ScInSi2Cl
_chemical_formula_sum 'Sc1 In1 Si2 Cl1'
_cell_length_a 4.966
_cell_length_b 5.770
_cell_length_c 4.966
_cell_angle_alpha 90.00
_cell_angle_beta 90.00
_cell_angle_gamma 90.00
_space_group_name_H-M_alt 'P 1'
_space_group_IT_number 1
_space_group_name_Hall 'P 1'
loop_
_atom_site_label
_atom_site_type_symbol
_atom_site_fract_x
_atom_site_fract_y
_atom_site_fract_z
Sc1 Sc 0.000 0.500 0.000
Si1 Si 0.000 0.000 0.500
Si2 Si 0.500 0.000 0.000
Cl1 Cl 0.500 0.500 0.500
In1 In 0.000 0.000 0.000

[3]
# Nd3Se5 (PBE-GGA, relaxed)
# ΔE_f (raw) ... -1746 meV per atom
# Raw total energy ... -91.383 eV per cell
# N(E_F) ... 0.156 states/eV/atom
data_Nd3Se5
_chemical_formula_sum 'Nd6 Se10'
_cell_length_a 5.954
_cell_length_b 8.989
_cell_length_c 8.989
_cell_angle_alpha 120.00
_cell_angle_beta 90.00
_cell_angle_gamma 90.00
_space_group_name_H-M_alt 'P 1'
_space_group_IT_number 1
_space_group_name_Hall 'P 1'
loop_
_atom_site_label
_atom_site_type_symbol
_atom_site_fract_x
_atom_site_fract_y
_atom_site_fract_z
Nd1 Nd 0.250 0.000 0.366
Nd2 Nd 0.250 0.366 0.000
Nd3 Nd 0.250 0.634 0.634
Nd4 Nd 0.750 0.000 0.634
Nd5 Nd 0.750 0.634 0.000
Nd6 Nd 0.750 0.366 0.366
Se1 Se 0.000 0.667 0.333
Se2 Se 0.000 0.333 0.667
Se3 Se 0.500 0.333 0.667
Se4 Se 0.500 0.667 0.333
Se5 Se 0.250 0.000 0.720
Se6 Se 0.250 0.720 0.000
Se7 Se 0.250 0.280 0.280
Se8 Se 0.750 0.000 0.280
Se9 Se 0.750 0.280 0.000
Se10 Se 0.750 0.720 0.720

[4]
# ZrTlV2 (PBE-GGA, relaxed)
# Raw total energy ... -27.649 eV per cell
# N(E_F) ... 1.340 states/eV/atom
# Polymorph energy (0 for the lowest one) ... 0.000 eV per atom
# Energy of formation from the pure elements ... 0.3756 eV per atom
data_ZrTlV2
_chemical_formula_sum 'Zr1 Tl1 V2'
_cell_length_a 4.649
_cell_length_b 4.649
_cell_length_c 4.649
_cell_angle_alpha 60.00
_cell_angle_beta 60.00
_cell_angle_gamma 60.00
_space_group_name_H-M_alt 'P 1'
_space_group_IT_number 1
_space_group_name_Hall 'P 1'
loop_
_atom_site_label
_atom_site_type_symbol
_atom_site_fract_x
_atom_site_fract_y
_atom_site_fract_z
Tl1 Tl 0.500 0.500 0.500
Zr1 Zr 0.000 0.000 0.000
V1 V 0.250 0.250 0.250
V2 V 0.750 0.750 0.750

[5]
# BaNaRhCl6 (PBE-GGA, relaxed)
# ΔE_f (raw) ... -1469 meV per atom
# Raw total energy ... -34.893 eV per cell
# N(E_F) ... 0.000 states/eV/atom
data_BaNaRhCl6
_chemical_formula_sum 'Ba1 Na1 Rh1 Cl6'
_cell_length_a 6.819
_cell_length_b 6.819
_cell_length_c 6.438
_cell_angle_alpha 90.01
_cell_angle_beta 89.99
_cell_angle_gamma 59.98
_space_group_name_H-M_alt 'P 1'
_space_group_IT_number 1
_space_group_name_Hall 'P 1'
loop_
_atom_site_label
_atom_site_type_symbol
_atom_site_fract_x
_atom_site_fract_y
_atom_site_fract_z
Ba1 Ba 0.000 0.000 0.000
Na1 Na 0.667 0.667 0.500
Rh1 Rh 0.333 0.333 0.500
Cl1 Cl 0.044 0.345 0.285
Cl2 Cl 0.344 0.044 0.715
Cl3 Cl 0.611 0.345 0.715
Cl4 Cl 0.044 0.611 0.715
Cl5 Cl 0.345 0.611 0.285
Cl6 Cl 0.611 0.044 0.285

[6]
# NaPr2PaP4 (PBE-GGA, relaxed)
# Raw total energy ... -50.737 eV per cell
# N(E_F) ... 0.348 states/eV/atom
# Energy of formation from the pure elements ... -1.0904 eV per atom
data_NaPr2PaP4
_chemical_formula_sum 'Na1 Pr2 Pa1 P4'
_cell_length_a 4.170
_cell_length_b 7.109
_cell_length_c 7.113
_cell_angle_alpha 108.78
_cell_angle_beta 90.00
_cell_angle_gamma 90.00
_space_group_name_H-M_alt 'P 1'
_space_group_IT_number 1
_space_group_name_Hall 'P 1'
loop_
_atom_site_label
_atom_site_type_symbol
_atom_site_fract_x
_atom_site_fract_y
_atom_site_fract_z
Na1 Na 0.500 0.500 0.000
Pr1 Pr 0.500 0.000 0.500
Pr2 Pr 0.000 0.500 0.500
Pa1 Pa 0.000 0.000 0.000
P1 P 0.500 0.235 0.235
P2 P 0.500 0.765 0.765
P3 P 0.000 0.229 0.759
P4 P 0.000 0.771 0.241

no.,mass density (Mg/m³)
1,8.622
2,2.934
3,6.597
4,9.292
5,3.049
6,5.487